SmWClO4: optimized geometry, PBE with a Hubbard U.

Lattice parameters (Å, degrees): 6.4646 6.4646 7.0555 104.09 104.09 70.87
Last column: nearest neighbours and their distance in Å.
Fractional positions:
1 Sm 0.2225 0.2225 0.1156  4 O 2.37
2 Sm 0.7775 0.7775 0.8844  4 O 2.37
3 W 0.3626 0.3626 0.7331  4 O 1.79-1.83
4 W 0.6374 0.6374 0.2669  4 O 1.79-1.83
5 Cl 0.0104 0.0104 0.7672  2 Sm 2.78-2.81
6 Cl 0.9896 0.9896 0.2328  2 Sm 2.78-2.81
7 O 0.1123 0.4887 0.8456  1 W 1.83
8 O 0.2950 0.2950 0.4675  1 W 1.79
9 O 0.4581 0.4581 0.1978  1 W 1.80
10 O 0.4887 0.1123 0.8456  1 W 1.83
11 O 0.5113 0.8877 0.1544  1 W 1.83
12 O 0.5419 0.5419 0.8022  1 W 1.80
13 O 0.7050 0.7050 0.5325  1 W 1.79
14 O 0.8877 0.5113 0.1544  1 W 1.83

E_tot	-7.25	eV/atom
SG	C2/m, No. 12